This record from Alexandria describes an optimized crystal structure of Sc2Ga5Cu3. The functional is PBE.

abc: 12.0509 12.0509 6.5645
angles: 90.00 90.00 160.23
Fractional positions:
Sc: 0.0166 0.9834 0.5000
Sc: 0.3265 0.6735 0.5215
Sc: 0.6735 0.3265 0.0215
Sc: 0.9834 0.0166 0.0000
Ga: 0.1014 0.8986 0.8378
Ga: 0.2064 0.7936 0.3222
Ga: 0.2093 0.7907 0.7329
Ga: 0.3812 0.6188 0.9974
Ga: 0.4502 0.5498 0.6782
Ga: 0.5498 0.4502 0.1782
Ga: 0.6188 0.3812 0.4974
Ga: 0.7907 0.2093 0.2329
Ga: 0.7936 0.2064 0.8222
Ga: 0.8986 0.1014 0.3378
Cu: 0.1063 0.8937 0.2304
Cu: 0.2759 0.7241 0.0297
Cu: 0.4506 0.5494 0.2875
Cu: 0.5494 0.4506 0.7875
Cu: 0.7241 0.2759 0.5297
Cu: 0.8937 0.1063 0.7304

Calculated values
**Symmetry**: No. 36
**DOS(E_F)**: 7.52 states/eV/cell
**Energy relative to the elements**: -0.39 eV per atom
**E above lowest polymorph**: 0.0 meV/atom